[1]
# PBE EuDy2Ho, relaxed
data_EuDy2Ho
_chemical_formula_sum 'Eu1 Dy2 Ho1'
_space_group_name_H-M_alt 'P 4/m m m'
_space_group_IT_number 123
_space_group_name_Hall '-P 4 2'
_cell_length_a 5.9095
_cell_length_b 5.9095
_cell_length_c 3.7912
_cell_angle_alpha 90.00
_cell_angle_beta 90.00
_cell_angle_gamma 90.00
loop_
_atom_site_label
_atom_site_type_symbol
_atom_site_fract_x
_atom_site_fract_y
_atom_site_fract_z
Eu1 Eu 0.0000 0.0000 0.0000
Dy1 Dy 0.0000 0.5000 0.5000
Ho1 Ho 0.5000 0.5000 0.0000
# Energy above the most stable polymorph in this dataset (meV per atom): 100



[2]
# PBE MgBI3, relaxed
data_MgBI3
_chemical_formula_sum 'Mg1 B1 I3'
_space_group_name_H-M_alt 'P m -3 m'
_space_group_IT_number 221
_space_group_name_Hall '-P 4 2 3'
_cell_length_a 5.7134
_cell_length_b 5.7134
_cell_length_c 5.7134
_cell_angle_alpha 90.00
_cell_angle_beta 90.00
_cell_angle_gamma 90.00
loop_
_atom_site_label
_atom_site_type_symbol
_atom_site_fract_x
_atom_site_fract_y
_atom_site_fract_z
Mg1 Mg 0.0000 0.0000 0.0000
B1 B 0.5000 0.5000 0.5000
I1 I 0.0000 0.0000 0.5000
# Formation energy without anion corrections (eV/atom): 0.534
# Energy above the most stable polymorph in this dataset (meV per atom): 93



[3]
# PBE ThZn2Cu, relaxed
data_ThZn2Cu
_chemical_formula_sum 'Th2 Zn4 Cu2'
_space_group_name_H-M_alt 'P 1 21/m 1'
_space_group_IT_number 11
_space_group_name_Hall '-P 2yb'
_cell_length_a 4.8118
_cell_length_b 4.4147
_cell_length_c 7.3472
_cell_angle_alpha 90.00
_cell_angle_beta 97.83
_cell_angle_gamma 90.00
loop_
_atom_site_label
_atom_site_type_symbol
_atom_site_fract_x
_atom_site_fract_y
_atom_site_fract_z
Th1 Th 0.0417 0.2500 0.1849
Zn1 Zn 0.3613 0.7500 0.4641
Zn2 Zn 0.4783 0.2500 0.8953
Cu1 Cu 0.1496 0.2500 0.5896
# E_tot (eV/atom): -3.700



[4]
# PBE SiBi2H, relaxed
data_SiBi2H
_chemical_formula_sum 'Si4 Bi8 H4'
_space_group_name_H-M_alt 'I -4 2 d'
_space_group_IT_number 122
_space_group_name_Hall 'I -4 2bw'
_cell_length_a 6.0118
_cell_length_b 6.0118
_cell_length_c 11.2220
_cell_angle_alpha 90.00
_cell_angle_beta 90.00
_cell_angle_gamma 90.00
loop_
_atom_site_label
_atom_site_type_symbol
_atom_site_fract_x
_atom_site_fract_y
_atom_site_fract_z
Si1 Si 0.0000 0.0000 0.0000
Bi1 Bi 0.1943 0.2500 0.6250
H1 H 0.0000 0.0000 0.5000
# Energy above the most stable polymorph in this dataset (meV per atom): 0



[5]
# PBE TaGe2OsC, relaxed
data_TaGe2OsC
_chemical_formula_sum 'Ta1 Ge2 Os1 C1'
_space_group_name_H-M_alt 'P 4/m m m'
_space_group_IT_number 123
_space_group_name_Hall '-P 4 2'
_cell_length_a 4.9289
_cell_length_b 4.9289
_cell_length_c 3.7497
_cell_angle_alpha 90.00
_cell_angle_beta 90.00
_cell_angle_gamma 90.00
loop_
_atom_site_label
_atom_site_type_symbol
_atom_site_fract_x
_atom_site_fract_y
_atom_site_fract_z
Ta1 Ta 0.0000 0.0000 0.0000
Ge1 Ge 0.0000 0.5000 0.5000
Os1 Os 0.5000 0.5000 0.5000
C1 C 0.5000 0.5000 0.0000
# E_tot (eV/atom): -7.017



[6]
# PBE Mg3RuI, relaxed
data_Mg3RuI
_chemical_formula_sum 'Mg3 Ru1 I1'
_space_group_name_H-M_alt 'P m -3 m'
_space_group_IT_number 221
_space_group_name_Hall '-P 4 2 3'
_cell_length_a 5.0712
_cell_length_b 5.0712
_cell_length_c 5.0712
_cell_angle_alpha 90.00
_cell_angle_beta 90.00
_cell_angle_gamma 90.00
loop_
_atom_site_label
_atom_site_type_symbol
_atom_site_fract_x
_atom_site_fract_y
_atom_site_fract_z
Mg1 Mg 0.0000 0.0000 0.5000
Ru1 Ru 0.0000 0.0000 0.0000
I1 I 0.5000 0.5000 0.5000
# Formation energy without anion corrections (eV/atom): 0.290
# Energy above the most stable polymorph in this dataset (meV per atom): 0



Table of magnetic moment (μB/atom), in record order: 1.996; 0.000; 0.000; 0.000; 0.000; 0.000